DFT (GGA-PBE) results for a relaxed Zn2OsW crystal.

Properties
Energy above the lowest structure with this stoichiometry   0.063 eV per atom
Formation enthalpy at 0 K   0.6 eV/f.u.
Magnetization   0.0 μB/cell
Theoretical density   14.3 Mg/m³
Space group   No. 216
Crystal system   cubic

Geometry as CIF:
```
data_Zn2OsW
_chemical_formula_sum 'Zn2 Os1 W1'
_space_group_name_H-M_alt 'P 1'
_space_group_IT_number 1
_space_group_name_Hall 'P 1'
_cell_length_a 4.3572
_cell_length_b 4.3572
_cell_length_c 4.3572
_cell_angle_alpha 60.00
_cell_angle_beta 60.00
_cell_angle_gamma 60.00
loop_
_atom_site_label
_atom_site_fract_x
_atom_site_fract_y
_atom_site_fract_z
Os1 0.5000 0.5000 0.5000
W1 0.7500 0.7500 0.7500
Zn1 0.2500 0.2500 0.2500
Zn2 0.0000 0.0000 0.0000
```